TlHgOs2 | PBE-GGA | optimized geometry

Cell: 2.866 4.764 11.590 Å, 90.00 90.00 90.00°
Space group Imm2 (No. 44)
Inequivalent atoms, fractional coordinates:
Tl 0.000 0.000 0.000
Hg 0.000 0.500 0.802
Os 0.000 0.000 0.580
Os 0.000 0.500 0.257

Summary:
Crystal system: orthorhombic
Volume: 158.3 Å³/cell
Total magnetic moment: 0.0 Bohr magnetons per cell
Raw total energy: -5.347 eV/atom
Energy above the most stable polymorph in this dataset: 0.4162 eV per atom